Below is a geometry-optimized FePdN2 structure, with properties calculated at the PBE level.

Properties
**E_tot**: -6.21 eV per atom
**D(E_F)**: 20.82 states/eV per cell
**E_form (uncorrected)**: 1363.7 meV per atom
**Volume**: 9.29 Å³/atom

a b c (Å): 5.2964 5.2964 5.2964
angles (deg): 90.00 90.00 90.00
Last column: nearest neighbours and their distance in Å.
Space group Fm-3m (No. 225)
One atom of each set of equivalent atoms:
Fe  0.0000  0.0000  0.0000  8 N 2.29
Pd  0.0000  0.0000  0.5000  8 N 2.29
N  0.2500  0.2500  0.2500  4 Fe 2.29, 4 Pd 2.29